[1]
# LiSiN2

A geometry-optimized LiSiN2 structure (PBE, the Alexandria database).

Computed properties:
Magnetization   3.52 Bohr magnetons per cell
ΔE_f (raw)   -1.5 eV per formula unit

a = 5.4915 Å, b = 5.4998 Å, c = 8.3392 Å
α = 90.00°, β = 90.00°, γ = 90.00°
Space group Fddd (No. 70, origin choice 2)
Unique sites:
1 Li 0.1250 0.1250 0.1250 x8
2 Si 0.1250 0.1250 0.6250 x8
3 N 0.1250 0.1250 0.4034 x16

[2]
# Ca2Br3F

A geometry-optimized Ca2Br3F structure (PBE, the Alexandria database).

Computed properties:
Magnetization   0.00 Bohr magnetons per cell
ΔE_f (raw)   -14.7 eV per formula unit
Offset from the most stable computed form   30 meV/atom

a = 16.1495 Å, b = 4.3388 Å, c = 10.8309 Å
α = 90.00°, β = 115.73°, γ = 90.00°
Space group C2/m (No. 12)
Unique sites:
1 Ca 0.0947 0.0000 0.4463 x4
2 Ca 0.1412 0.5000 0.8157 x4
3 Br 0.0513 0.5000 0.2497 x4
4 Br 0.1553 0.0000 0.9994 x4
5 Br 0.2178 0.5000 0.6174 x4
6 F 0.0646 0.0000 0.6371 x4

[3]
# RbCoAs

A geometry-optimized RbCoAs structure (PBE, the Alexandria database).

Computed properties:
Magnetization   1.39 Bohr magnetons per cell
Formation energy from the elements   0.118 eV per atom

a = 3.2606 Å, b = 3.2606 Å, c = 12.5463 Å
α = 90.00°, β = 90.00°, γ = 90.00°
Space group I4mm (No. 107)
Unique sites:
1 Rb 0.0000 0.0000 0.0000 x2
2 Co 0.0000 0.0000 0.7207 x2
3 As 0.0000 0.0000 0.2826 x2

[4]
# NiC2

A geometry-optimized NiC2 structure (PBE, the Alexandria database).

Computed properties:
Magnetization   0.00 Bohr magnetons per cell
Offset from the most stable computed form   714 meV/atom
Formation energy from the elements   1.132 eV per atom

a = 2.9166 Å, b = 2.9166 Å, c = 11.8185 Å
α = 90.00°, β = 90.00°, γ = 120.00°
Space group P-3m1 (No. 164)
Unique sites:
1 Ni 0.0000 0.0000 0.0000 x1
2 Ni 0.3333 0.6667 0.3582 x2
3 C 0.0000 0.0000 0.4410 x2
4 C 0.3333 0.6667 0.0913 x2
5 C 0.3333 0.6667 0.2006 x2

| no. | V (Å³ per atom) |
| --- | --- |
| 1 | 7.871 |
| 2 | 28.486 |
| 3 | 22.231 |
| 4 | 9.674 |